Below is crystalline Mg4ZnTe at its relaxed geometry, with properties calculated at the PBE level.

Values from the calculation:
space group	No. 216
spin magnetization	0.00	μB per cell
density	3.40	g/cm3
raw formation energy	0.08	eV/atom
D(E_F)	0.502	states/eV/atom

Structure (extended XYZ):
```
6
Lattice="0.000 4.139 4.139 4.139 0.000 4.139 4.139 4.139 0.000" Properties=species:S:1:pos:R:3 pbc="T T T"
Te 6.209 6.209 6.209
Zn 0.000 0.000 0.000
Mg 5.173 3.105 5.173
Mg 5.173 5.173 3.105
Mg 3.105 3.105 3.105
Mg 3.105 5.173 5.173
```